(1)
Entry from Alexandria via LeMat-Bulk: a geometry-optimized TaCd2Os structure (GGA-PBEsol).

Cell lengths 2.9170, 2.9170, 9.7586 Å; angles 81.40, 81.40, 60.00 degrees
Fractional positions:
Cd: 0.7554 0.7554 0.7338
Cd: 0.9975 0.9975 0.0075
Os: 0.5048 0.5048 0.4856
Ta: 0.2423 0.2423 0.2731

## Properties
Theoretical density (g/cm³): 14.0
ΔE_f (kJ per mole of atoms): 21
Relative energy among the computed polymorphs (eV per atom): 0.0998
SG: R3m

(2)
Entry from Alexandria via LeMat-Bulk: a geometry-optimized CuRh3 structure (GGA-PBEsol).

Cell lengths 2.6611, 2.6611, 8.6633 Å; angles 81.17, 81.17, 60.00 degrees
Fractional positions:
Rh: 0.5000 0.5000 0.5000
Cu: 0.0000 0.0000 0.0000
Rh: 0.2513 0.2513 0.2462
Rh: 0.7487 0.7487 0.7538

## Properties
Theoretical density (g/cm³): 11.8
ΔE_f (kJ per mole of atoms): 4
SG: R-3m

(3)
Entry from Alexandria via LeMat-Bulk: a geometry-optimized AlSn2HgBr structure (GGA-PBEsol).

Cell lengths 5.1478, 5.3011, 5.3011 Å; angles 90.00, 90.00, 90.00 degrees
Fractional positions:
Br: 0.5000 0.5000 0.5000
Sn: 0.0000 0.5000 0.0000
Hg: 0.5000 0.0000 0.0000
Al: 0.0000 0.0000 0.0000
Sn: 0.0000 0.0000 0.5000

## Properties
Theoretical density (g/cm³): 6.3
E_form (uncorrected) (eV per formula unit): 0.97
SG: P4/mmm

(4)
Entry from Alexandria via LeMat-Bulk: a geometry-optimized KBe2I structure (GGA-PBEsol).

Cell lengths 5.2362, 5.2362, 5.2362 Å; angles 60.00, 60.00, 60.00 degrees
Fractional positions:
I: 0.5000 0.5000 0.5000
Be: 0.2500 0.2500 0.2500
Be: 0.7500 0.7500 0.7500
K: 0.0000 0.0000 0.0000

## Properties
Theoretical density (g/cm³): 3.0
E_form (uncorrected) (eV per formula unit): 4.23
SG: Fm-3m

(5)
Entry from Alexandria via LeMat-Bulk: a geometry-optimized HgCSN2 structure (GGA-PBEsol).

Cell lengths 3.3147, 3.3147, 6.5697 Å; angles 90.00, 90.00, 90.00 degrees
Fractional positions:
C: 0.0000 0.0000 0.0000
N: 0.5000 0.0000 0.0000
N: 0.0000 0.5000 0.0000
S: 0.0000 0.0000 0.5000
Hg: 0.5000 0.5000 0.5000

## Properties
Theoretical density (g/cm³): 6.3
E_form (uncorrected) (eV per formula unit): 10.21
SG: P4/mmm

(6)
Entry from Alexandria via LeMat-Bulk: a geometry-optimized TiGePd structure (GGA-PBEsol).

Cell lengths 3.8280, 6.3234, 7.5046 Å; angles 90.00, 90.00, 90.00 degrees
Fractional positions:
Pd: 0.7500 0.8563 0.5608
Ti: 0.7500 0.9650 0.1838
Pd: 0.7500 0.3563 0.9392
Ge: 0.7500 0.2573 0.6242
Ge: 0.7500 0.7573 0.8758
Ti: 0.2500 0.5350 0.6838
Ti: 0.2500 0.0350 0.8162
Ge: 0.2500 0.7427 0.3758
Ge: 0.2500 0.2427 0.1242
Ti: 0.7500 0.4650 0.3162
Pd: 0.2500 0.6437 0.0608
Pd: 0.2500 0.1437 0.4392

## Properties
Theoretical density (g/cm³): 8.3
ΔE_f (kJ per mole of atoms): -75
SG: Pnma

(7)
Entry from Alexandria via LeMat-Bulk: a geometry-optimized ZnCuSn3 structure (GGA-PBEsol).

Cell lengths 5.0065, 5.0065, 5.0065 Å; angles 90.00, 90.00, 90.00 degrees
Fractional positions:
Sn: 0.0000 0.5000 0.0000
Cu: 0.0000 0.0000 0.0000
Sn: 0.0000 0.0000 0.5000
Sn: 0.5000 0.0000 0.0000
Zn: 0.5000 0.5000 0.5000

## Properties
Theoretical density (g/cm³): 6.4
ΔE_f (kJ per mole of atoms): 37
SG: Pm-3m

(8)
Entry from Alexandria via LeMat-Bulk: a geometry-optimized AgPt3 structure (GGA-PBEsol).

Cell lengths 2.7411, 4.8304, 4.8610 Å; angles 98.47, 90.00, 106.48 degrees
Fractional positions:
Pt: 0.2476 0.4953 0.7453
Pt: 0.7524 0.5047 0.2547
Pt: 0.5000 0.0000 0.5000
Ag: 0.0000 0.0000 0.0000

## Properties
Theoretical density (g/cm³): 18.9
ΔE_f (kJ per mole of atoms): 2
SG: C2/m

(9)
Entry from Alexandria via LeMat-Bulk: a geometry-optimized Cr3NiSb structure (GGA-PBEsol).

Cell lengths 4.3425, 4.3425, 4.3425 Å; angles 90.00, 90.00, 90.00 degrees
Fractional positions:
Cr: 0.0000 0.0000 0.5000
Ni: 0.0000 0.0000 0.0000
Cr: 0.0000 0.5000 0.0000
Cr: 0.5000 0.0000 0.0000
Sb: 0.5000 0.5000 0.5000

## Properties
Theoretical density (g/cm³): 6.8
E_form (uncorrected) (eV per formula unit): 5.14
SG: Pm-3m

(10)
Entry from Alexandria via LeMat-Bulk: a geometry-optimized La2NbZnBi structure (GGA-PBEsol).

Cell lengths 5.3855, 5.5153, 5.5153 Å; angles 90.00, 90.00, 90.00 degrees
Fractional positions:
Nb: 0.0000 0.0000 0.0000
La: 0.0000 0.5000 0.0000
La: 0.0000 0.0000 0.5000
Zn: 0.5000 0.5000 0.5000
Bi: 0.5000 0.0000 0.0000

## Properties
Theoretical density (g/cm³): 6.5
ΔE_f (kJ per mole of atoms): 28
SG: P4/mmm

(11)
Entry from Alexandria via LeMat-Bulk: a geometry-optimized BaZnPt structure (GGA-PBEsol).

Cell lengths 4.3937, 4.3937, 4.5437 Å; angles 90.00, 90.00, 120.00 degrees
Fractional positions:
Zn: 0.6667 0.3333 0.5000
Pt: 0.3333 0.6667 0.5000
Ba: 0.0000 0.0000 0.0000

## Properties
Theoretical density (g/cm³): 8.7
ΔE_f (kJ per mole of atoms): -56
SG: P-6m2

(12)
Entry from Alexandria via LeMat-Bulk: a geometry-optimized TaTl2ReSn structure (GGA-PBEsol).

Cell lengths 5.0017, 5.3032, 5.3032 Å; angles 90.00, 90.00, 90.00 degrees
Fractional positions:
Re: 0.5000 0.0000 0.0000
Sn: 0.0000 0.0000 0.0000
Ta: 0.5000 0.5000 0.5000
Tl: 0.0000 0.5000 0.0000
Tl: 0.0000 0.0000 0.5000

## Properties
Theoretical density (g/cm³): 10.6
ΔE_f (kJ per mole of atoms): 222
SG: P4/mmm